Density functional theory data (PBE-GGA) for TlGa2ReO8 after structural relaxation.

Results
magnetic moment	0.00	μB/cell
ΔE_f (raw)	-16.4	eV per formula unit
final energy	-6.41	eV/atom
ρ	7.78	g/cm³

Cell lengths 4.6644, 4.6603, 6.4616 Å; angles 90.00, 90.00, 91.26 degrees
Positions (direct):
O (0.6794, 0.6806, 0.5000)
O (0.7996, 0.2016, 0.7951)
O (0.2004, 0.7984, 0.2049)
O (0.7996, 0.2016, 0.2049)
O (0.2975, 0.2965, 0.0000)
O (0.7025, 0.7035, 0.0000)
O (0.2004, 0.7984, 0.7951)
O (0.3206, 0.3194, 0.5000)
Ga (0.5000, 0.5000, 0.7519)
Ga (0.5000, 0.5000, 0.2481)
Re (0.0000, 0.0000, 0.0000)
Tl (0.0000, 0.0000, 0.5000)


Density functional theory data (PBE-GGA) for LiMg2Zn16 after structural relaxation.

Results
magnetic moment	0.00	μB/cell
final energy	-1.38	eV/atom
ρ	6.00	g/cm³
N(E_F)	4.4	states/eV per cell
formation energy from the elements	-40	meV/atom

Cell lengths 6.7791, 6.7792, 6.7791 Å; angles 83.02, 83.02, 83.02 degrees
Positions (direct):
Zn (0.3029, 0.9961, 0.6882)
Zn (0.9961, 0.6882, 0.3029)
Zn (0.6494, 0.6494, 0.1526)
Zn (0.3466, 0.3466, 0.8301)
Zn (0.8301, 0.3466, 0.3466)
Zn (0.6882, 0.9961, 0.3029)
Zn (0.1335, 0.1335, 0.1335)
Zn (0.6494, 0.1526, 0.6494)
Zn (0.3029, 0.6882, 0.9961)
Zn (0.1526, 0.6494, 0.6494)
Zn (0.4996, 0.9938, 0.9938)
Zn (0.9938, 0.4996, 0.9938)
Zn (0.9961, 0.3029, 0.6882)
Zn (0.3466, 0.8301, 0.3466)
Zn (0.6882, 0.3029, 0.9961)
Zn (0.9938, 0.9938, 0.4996)
Mg (0.6520, 0.6520, 0.6520)
Mg (0.3646, 0.3646, 0.3646)
Li (0.9136, 0.9136, 0.9136)


Density functional theory data (PBE-GGA) for CsSrEu4 after structural relaxation.

Results
magnetic moment	29.67	μB/cell
final energy	-7.10	eV/atom
ρ	4.25	g/cm³
N(E_F)	35.7	states/eV per cell
formation energy from the elements	171	meV/atom

Cell lengths 7.7045, 7.7045, 7.7045 Å; angles 60.00, 60.00, 60.00 degrees
Positions (direct):
Eu (0.1220, 0.6260, 0.6260)
Eu (0.6260, 0.1220, 0.6260)
Eu (0.6260, 0.6260, 0.6260)
Eu (0.6260, 0.6260, 0.1220)
Sr (0.0000, 0.0000, 0.0000)
Cs (0.2500, 0.2500, 0.2500)


Density functional theory data (PBE-GGA) for LaPuB12 after structural relaxation.

Results
magnetic moment	5.58	μB/cell
final energy	-7.57	eV/atom
ρ	6.02	g/cm³
N(E_F)	8.1	states/eV per cell
formation energy from the elements	-474	meV/atom

Cell lengths 5.8471, 5.8471, 5.8471 Å; angles 60.00, 60.00, 60.00 degrees
Positions (direct):
La (0.0000, 0.0000, 0.0000)
Pu (0.5000, 0.5000, 0.5000)
B (0.0997, 0.4003, 0.4003)
B (0.5997, 0.9003, 0.9003)
B (0.5997, 0.5997, 0.9003)
B (0.4003, 0.0997, 0.4003)
B (0.4003, 0.0997, 0.0997)
B (0.0997, 0.0997, 0.4003)
B (0.4003, 0.4003, 0.0997)
B (0.9003, 0.9003, 0.5997)
B (0.9003, 0.5997, 0.9003)
B (0.5997, 0.9003, 0.5997)
B (0.0997, 0.4003, 0.0997)
B (0.9003, 0.5997, 0.5997)


Density functional theory data (PBE-GGA) for PaGaPt after structural relaxation.

Results
magnetic moment	0.00	μB/cell
final energy	-7.05	eV/atom
ρ	13.90	g/cm³
N(E_F)	7.5	states/eV per cell
formation energy from the elements	-858	meV/atom

Cell lengths 4.4632, 5.6338, 5.6338 Å; angles 87.25, 66.66, 66.66 degrees
Positions (direct):
Pa (0.0000, 0.6239, 0.3761)
Pa (0.5000, 0.1688, 0.8312)
Ga (0.2865, 0.0260, 0.4009)
Ga (0.7135, 0.5991, 0.9740)
Pt (0.7674, 0.2135, 0.2517)
Pt (0.2326, 0.7483, 0.7865)


Density functional theory data (PBE-GGA) for Sn3PtAu after structural relaxation.

Results
magnetic moment	0.00	μB/cell
final energy	-4.11	eV/atom
ρ	8.80	g/cm³
polymorph energy (0 for the lowest one)	456	meV/atom
N(E_F)	2.5	states/eV per cell
formation energy from the elements	160	meV/atom

Cell lengths 5.2079, 5.2079, 5.2079 Å; angles 90.00, 90.00, 90.00 degrees
Positions (direct):
Sn (0.0000, 0.5000, 0.0000)
Sn (0.0000, 0.0000, 0.5000)
Sn (0.5000, 0.0000, 0.0000)
Pt (0.0000, 0.0000, 0.0000)
Au (0.5000, 0.5000, 0.5000)


Density functional theory data (PBE-GGA) for ThCdAgPd after structural relaxation.

Results
magnetic moment	0.00	μB/cell
final energy	-4.47	eV/atom
ρ	10.51	g/cm³
N(E_F)	3.4	states/eV per cell
formation energy from the elements	-376	meV/atom

Cell lengths 4.9975, 4.9975, 4.9975 Å; angles 60.00, 60.00, 60.00 degrees
Positions (direct):
Cd (0.7500, 0.7500, 0.7500)
Pd (0.5000, 0.5000, 0.5000)
Th (0.2500, 0.2500, 0.2500)
Ag (0.0000, 0.0000, 0.0000)


Density functional theory data (PBE-GGA) for MgHg12Pb6 after structural relaxation.

Results
magnetic moment	0.00	μB/cell
final energy	-1.42	eV/atom
ρ	11.65	g/cm³
N(E_F)	9.1	states/eV per cell
formation energy from the elements	29	meV/atom

Cell lengths 8.8351, 8.8351, 8.8351 Å; angles 109.82, 109.82, 109.82 degrees
Positions (direct):
Mg (0.0000, 0.0000, 0.0000)
Hg (0.9556, 0.3978, 0.6105)
Hg (0.0444, 0.6022, 0.3895)
Hg (0.1442, 0.7693, 0.1437)
Hg (0.8563, 0.8558, 0.2307)
Hg (0.3895, 0.0444, 0.6022)
Hg (0.8558, 0.2307, 0.8563)
Hg (0.2307, 0.8563, 0.8558)
Hg (0.7693, 0.1437, 0.1442)
Hg (0.6022, 0.3895, 0.0444)
Hg (0.1437, 0.1442, 0.7693)
Hg (0.6105, 0.9556, 0.3978)
Hg (0.3978, 0.6105, 0.9556)
Pb (0.5153, 0.7810, 0.7188)
Pb (0.2190, 0.2812, 0.4847)
Pb (0.4847, 0.2190, 0.2812)
Pb (0.7810, 0.7188, 0.5153)
Pb (0.2812, 0.4847, 0.2190)
Pb (0.7188, 0.5153, 0.7810)


Please write out number 8 again, unchanged.
Density functional theory data (PBE-GGA) for MgHg12Pb6 after structural relaxation.

Results
magnetic moment	0.00	μB/cell
final energy	-1.42	eV/atom
ρ	11.65	g/cm³
N(E_F)	9.1	states/eV per cell
formation energy from the elements	29	meV/atom

Cell lengths 8.8351, 8.8351, 8.8351 Å; angles 109.82, 109.82, 109.82 degrees
Positions (direct):
Mg (0.0000, 0.0000, 0.0000)
Hg (0.9556, 0.3978, 0.6105)
Hg (0.0444, 0.6022, 0.3895)
Hg (0.1442, 0.7693, 0.1437)
Hg (0.8563, 0.8558, 0.2307)
Hg (0.3895, 0.0444, 0.6022)
Hg (0.8558, 0.2307, 0.8563)
Hg (0.2307, 0.8563, 0.8558)
Hg (0.7693, 0.1437, 0.1442)
Hg (0.6022, 0.3895, 0.0444)
Hg (0.1437, 0.1442, 0.7693)
Hg (0.6105, 0.9556, 0.3978)
Hg (0.3978, 0.6105, 0.9556)
Pb (0.5153, 0.7810, 0.7188)
Pb (0.2190, 0.2812, 0.4847)
Pb (0.4847, 0.2190, 0.2812)
Pb (0.7810, 0.7188, 0.5153)
Pb (0.2812, 0.4847, 0.2190)
Pb (0.7188, 0.5153, 0.7810)


- The lowest final energy belongs to which entry?
  LaPuB12


- ρ of number 4 (LaPuB12)?
  6.02 g/cm³